No. 1
La3BeCo PBE-GGA relaxed; ΔH_f (0 K) = 240 meV per atom; DOS at the Fermi energy = 1.540 states/eV per atom; E_tot = -24.41 eV for the cell shown; polymorph energy (0 for the lowest one) = 0 kJ/mol of formula units
1.0
-2.4882 -2.9437 -3.5877
-0.4049 -3.9177 3.4952
-4.6231 1.9275 1.6248
Be Co La
1 1 3
Direct
0.5000 0.5000 0.5000
0.0000 0.0000 0.0000
0.0000 0.5000 0.0000
0.0000 0.0000 0.5000
0.5000 0.0000 0.0000

***

No. 2
La2BeCo PBE-GGA relaxed; ΔH_f (0 K) = 138 meV per atom; DOS at the Fermi energy = 1.141 states/eV per atom; E_tot = -20.13 eV for the cell shown
1.0
3.2705 0.0000 0.0000
0.0000 3.2695 0.0000
0.0000 0.0000 8.2532
Be Co La
1 1 2
Direct
0.0000 0.0000 0.5803
0.5000 0.5000 0.6542
0.0000 0.0000 0.9196
0.5000 0.5000 0.3460

***

No. 3
LaBe2Co PBE-GGA relaxed; ΔH_f (0 K) = 90 meV per atom; DOS at the Fermi energy = 0.699 states/eV per atom; E_tot = -19.13 eV for the cell shown; polymorph energy (0 for the lowest one) = 90 kJ/mol of formula units
1.0
2.9433 0.0000 0.0000
0.0000 2.8074 0.0000
0.0000 0.0000 6.8550
Be Co La
2 1 1
Direct
0.0000 0.0000 0.0955
0.0000 0.0000 0.4045
0.5000 0.5000 0.2500
0.5000 0.5000 0.7500

***

No. 4
LaBe2Co2 PBE-GGA relaxed; ΔH_f (0 K) = 142 meV per atom; DOS at the Fermi energy = 0.490 states/eV per atom; E_tot = -51.77 eV for the cell shown; polymorph energy (0 for the lowest one) = 89 kJ/mol of formula units
1.0
6.8908 0.0000 0.0000
0.0000 6.8908 0.0000
0.0000 0.0000 2.8091
Be Co La
4 4 2
Direct
0.3906 0.8906 0.0000
0.8906 0.6094 0.0000
0.6094 0.1094 0.0000
0.1094 0.3906 0.0000
0.1527 0.6527 0.5000
0.6527 0.8473 0.5000
0.8473 0.3473 0.5000
0.3473 0.1527 0.5000
0.0000 0.0000 0.0000
0.5000 0.5000 0.0000

***

No. 5
LaBe2Co PBE-GGA relaxed; ΔH_f (0 K) = 133 meV per atom; DOS at the Fermi energy = 0.905 states/eV per atom; E_tot = -18.95 eV for the cell shown; polymorph energy (0 for the lowest one) = 107 kJ/mol of formula units
1.0
3.5386 0.0000 0.0000
0.0000 2.8814 0.1029
0.0000 1.2134 5.9927
Be Co La
2 1 1
Direct
0.0000 0.1412 0.0910
0.5000 0.0473 0.2838
0.0000 0.5104 0.3559
0.5000 0.8011 0.7692

***

No. 6
LaBe2Co PBE-GGA relaxed; ΔH_f (0 K) = -144 meV per atom; DOS at the Fermi energy = 0.411 states/eV per atom; E_tot = -20.06 eV for the cell shown; polymorph energy (0 for the lowest one) = 0 kJ/mol of formula units
1.0
-3.2538 -1.8108 1.0056
-0.1625 -1.7423 3.4373
-2.3797 3.4700 2.9275
Be Co La
2 1 1
Direct
0.9506 0.9506 0.2185
0.2720 0.2720 0.2488
0.6005 0.6005 0.2828
0.6769 0.6769 0.7500